Density functional theory data (PBE) for LiLa3Tl after structural relaxation.

Results
V = 310 Å³ per cell
Energy = -39.3 eV for the cell shown

a b c (Å): 3.721 5.712 14.741
angles (deg): 85.00 97.25 90.00
Element x y z (fractional)
La1 0.359 0.812 0.718
La2 0.040 0.233 0.081
La3 0.837 0.325 0.674
La4 0.960 0.767 0.919
La5 0.641 0.188 0.282
La6 0.163 0.675 0.326
Li1 0.241 0.205 0.483
Li2 0.759 0.795 0.517
Tl1 0.564 0.723 0.128
Tl2 0.436 0.277 0.872

---

Density functional theory data (PBE) for Li2LaTl after structural relaxation.

Results
V = 109 Å³ per cell
Energy = -11.5 eV for the cell shown

a b c (Å): 3.616 5.519 5.445
angles (deg): 90.00 90.00 90.00
Element x y z (fractional)
Li1 0.500 0.500 0.000
Li2 0.000 0.000 0.000
La1 0.000 0.500 0.500
Tl1 0.500 0.000 0.500

---

Density functional theory data (PBE) for LiLa2Tl3 after structural relaxation.

Results
V = 340 Å³ per cell
Energy = -42.0 eV for the cell shown

a b c (Å): 6.346 6.346 9.585
angles (deg): 103.92 103.92 105.85
Element x y z (fractional)
Tl1 0.650 0.174 0.825
Tl2 0.826 0.350 0.175
Tl3 0.174 0.174 0.348
Tl4 0.174 0.650 0.825
Tl5 0.350 0.826 0.175
Tl6 0.826 0.826 0.652
La1 0.250 0.750 0.500
La2 0.245 0.245 0.000
La3 0.755 0.755 0.000
La4 0.750 0.250 0.500
Li1 0.668 0.668 0.336
Li2 0.332 0.332 0.664

---

Density functional theory data (PBE) for Li2La2TmTl2 after structural relaxation.

Results
V = 180 Å³ per cell
Energy = -24.4 eV for the cell shown

a b c (Å): 4.832 4.832 9.353
angles (deg): 75.03 75.03 60.00
Element x y z (fractional)
La1 0.135 0.135 0.594
La2 0.865 0.865 0.406
Tm1 0.000 0.000 0.000
Tl1 0.730 0.730 0.809
Tl2 0.270 0.270 0.191
Li1 0.606 0.606 0.183
Li2 0.394 0.394 0.817

---

Density functional theory data (PBE) for Li2LaTmTl4 after structural relaxation.

Results
V = 206 Å³ per cell
Energy = -25.3 eV for the cell shown

a b c (Å): 5.226 5.226 9.210
angles (deg): 73.52 73.52 60.00
Element x y z (fractional)
Tm1 0.500 0.500 0.500
Li1 0.753 0.753 0.742
Li2 0.247 0.247 0.258
Tl1 0.127 0.127 0.618
Tl2 0.873 0.873 0.382
Tl3 0.619 0.619 0.142
Tl4 0.381 0.381 0.858
La1 0.000 0.000 0.000

---

Density functional theory data (PBE) for Li2LaTm2Tl2 after structural relaxation.

Results
V = 186 Å³ per cell
Energy = -23.8 eV for the cell shown

a b c (Å): 4.889 4.889 9.424
angles (deg): 74.97 74.97 60.00
Element x y z (fractional)
La1 0.000 0.000 0.000
Tl1 0.256 0.256 0.233
Tl2 0.744 0.744 0.767
Tm1 0.130 0.130 0.610
Tm2 0.870 0.870 0.390
Li1 0.413 0.413 0.761
Li2 0.587 0.587 0.239

---

Density functional theory data (PBE) for LiLaTmTl after structural relaxation.

Results
V = 112 Å³ per cell
Energy = -14.4 eV for the cell shown

a b c (Å): 5.407 5.407 5.407
angles (deg): 60.00 60.00 60.00
Element x y z (fractional)
Tl1 0.500 0.500 0.500
Tm1 0.750 0.750 0.750
La1 0.250 0.250 0.250
Li1 0.000 0.000 0.000

---

Density functional theory data (PBE) for LiLaY2Tl4 after structural relaxation.

Results
V = 221 Å³ per cell
Energy = -32.0 eV for the cell shown

a b c (Å): 5.301 5.301 9.583
angles (deg): 73.94 73.94 60.00
Element x y z (fractional)
Tl1 0.380 0.380 0.859
Tl2 0.128 0.128 0.615
Tl3 0.620 0.620 0.141
Tl4 0.872 0.872 0.385
Y1 0.756 0.756 0.732
Y2 0.244 0.244 0.268
Li1 0.500 0.500 0.500
La1 0.000 0.000 0.000